## TiPbSe (GGA-PBE)

Data for TiPbSe after structural relaxation.

Cell and atoms, written as CIF:
```
data_TiPbSe
_chemical_formula_sum 'Ti2 Pb2 Se2'
_cell_length_a 3.411
_cell_length_b 3.411
_cell_length_c 11.325
_cell_angle_alpha 90.00
_cell_angle_beta 90.00
_cell_angle_gamma 90.00
_space_group_name_H-M_alt 'I 4 m m'
_space_group_IT_number 107
_space_group_name_Hall 'I 4 -2'
loop_
_atom_site_label
_atom_site_fract_x
_atom_site_fract_y
_atom_site_fract_z
Ti1 0.000 0.000 0.000
Pb1 0.000 0.000 0.307
Se1 0.000 0.000 0.588
```

Computed properties:
spin magnetization	0.18	μB/f.u.
crystal system	tetragonal
energy relative to the lowest polymorph listed for this composition	169	meV/atom
raw formation energy	-520	meV/atom
DOS at the Fermi energy	4.5	states/eV per cell

---

## TiPbSe (GGA-PBE)

Data for TiPbSe after structural relaxation.

Cell and atoms, written as CIF:
```
data_TiPbSe
_chemical_formula_sum 'Ti4 Pb4 Se4'
_cell_length_a 4.822
_cell_length_b 4.818
_cell_length_c 12.679
_cell_angle_alpha 90.00
_cell_angle_beta 90.20
_cell_angle_gamma 90.00
_space_group_name_H-M_alt 'C 1 2/m 1'
_space_group_IT_number 12
_space_group_name_Hall '-C 2y'
loop_
_atom_site_label
_atom_site_fract_x
_atom_site_fract_y
_atom_site_fract_z
Ti1 0.243 0.000 0.065
Pb1 0.249 0.000 0.404
Se1 0.245 0.500 0.145
```

Computed properties:
spin magnetization	0.00	μB/f.u.
crystal system	monoclinic
energy relative to the lowest polymorph listed for this composition	0	meV/atom
raw formation energy	-689	meV/atom
DOS at the Fermi energy	5.8	states/eV per cell

---

## TiPbSe2 (GGA-PBE)

Data for TiPbSe2 after structural relaxation.

Cell and atoms, written as CIF:
```
data_TiPbSe2
_chemical_formula_sum 'Ti4 Pb4 Se8'
_cell_length_a 6.607
_cell_length_b 6.607
_cell_length_c 11.533
_cell_angle_alpha 90.00
_cell_angle_beta 90.00
_cell_angle_gamma 90.00
_space_group_name_H-M_alt 'I -4 2 d'
_space_group_IT_number 122
_space_group_name_Hall 'I -4 2bw'
loop_
_atom_site_label
_atom_site_fract_x
_atom_site_fract_y
_atom_site_fract_z
Ti1 0.000 0.000 0.000
Pb1 0.000 0.000 0.500
Se1 0.183 0.250 0.125
```

Computed properties:
spin magnetization	1.90	μB/f.u.
crystal system	tetragonal
raw formation energy	-504	meV/atom
DOS at the Fermi energy	11.8	states/eV per cell

---

Question: Look up the spin magnetization of the second one.
Answer: 0.00 μB/f.u.